Entry 1:
PuNpOs | the Alexandria database | PBE | relaxed; size of the total moment = 4.3 μB/f.u.; crystal system = trigonal; uncorrected energy = -12.6829 eV per atom; excess energy over the best structure of this formula in the dataset = 122 meV/atom; N(E_F) = 16.801 states/eV/cell; space group = R-3m, No. 166; formation enthalpy at 0 K = 0.151 eV/atom
1.0
-2.663 1.493 3.266
-2.935 -2.765 1.931
3.045 -2.254 6.574
Os Pu Np
2 2 2
Cartesian
-2.228 -1.408 4.947 Os
-0.325 -2.118 6.824 Os
-1.322 -0.627 2.268 Pu
-1.231 -2.899 9.503 Pu
-3.064 -2.216 7.695 Np
0.511 -1.310 4.076 Np

Entry 2:
PuNpOs4 | the Alexandria database | PBE | relaxed; size of the total moment = 7.5 μB/f.u.; crystal system = cubic; uncorrected energy = -12.0550 eV per atom; N(E_F) = 14.285 states/eV/cell; space group = F-43m, No. 216; formation enthalpy at 0 K = -0.023 eV/atom
1.0
5.338 0.000 0.000
2.669 4.623 0.000
2.669 1.541 4.358
Np Os Pu
1 4 1
Cartesian
0.000 0.000 0.000 Np
5.338 3.082 0.544 Os
5.338 1.540 2.724 Os
6.673 3.853 2.724 Os
4.003 3.853 2.724 Os
2.669 1.541 1.090 Pu